Entry 1:
{
  "formula": "CaZnCr",
  "functional": "PBE-GGA",
  "state": "relaxed",
  "energy_ev_per_atom": -3.424,
  "ef_ev_per_atom": 0.88,
  "magnetic_moment_mub_per_cell": 19.0,
  "dos_at_fermi_per_ev_fu": 2.35,
  "density_g_cm3": 3.06,
  "space_group": "No. 216",
  "vol_a3_per_fu": 85,
  "cell": [[6.991, 0.000, 0.000], [0.000, 6.991, 0.000], [0.000, 0.000, 6.991]],
  "species": ["Ca", "Ca", "Ca", "Ca", "Zn", "Zn", "Zn", "Zn", "Cr", "Cr", "Cr", "Cr"],
  "fractional_positions": [[0.000, 0.000, 0.000], [0.000, 0.500, 0.500], [0.500, 0.000, 0.500], [0.500, 0.500, 0.000], [0.250, 0.250, 0.750], [0.250, 0.750, 0.250], [0.750, 0.250, 0.250], [0.750, 0.750, 0.750], [0.250, 0.250, 0.250], [0.250, 0.750, 0.750], [0.750, 0.250, 0.750], [0.750, 0.750, 0.250]]
}

=====

Entry 2:
{
  "formula": "Ho8FeTe2",
  "functional": "PBE-GGA",
  "state": "relaxed",
  "energy_ev_per_atom": -4.998,
  "magnetic_moment_mub_per_cell": 0.0,
  "dos_at_fermi_per_ev_fu": 7.88,
  "density_g_cm3": 8.30,
  "e_form_raw_ev_per_atom": -0.328,
  "space_group": "No. 12",
  "vol_a3_per_fu": 326,
  "cell": [[6.802, -3.477, 0.000], [6.802, 3.477, 0.000], [-0.519, 0.000, 6.898]],
  "species": ["Ho", "Ho", "Ho", "Ho", "Ho", "Ho", "Ho", "Ho", "Fe", "Te", "Te"],
  "fractional_positions": [[0.153, 0.679, 0.712], [0.162, 0.162, 0.832], [0.321, 0.847, 0.288], [0.391, 0.391, 0.109], [0.609, 0.609, 0.891], [0.679, 0.153, 0.712], [0.838, 0.838, 0.168], [0.847, 0.321, 0.288], [0.000, 0.000, 0.000], [0.271, 0.271, 0.440], [0.729, 0.729, 0.560]]
}

=====

Entry 3:
{
  "formula": "In2HgI",
  "functional": "PBE-GGA",
  "state": "relaxed",
  "energy_ev_per_atom": -1.968,
  "de_polymorph_kcal_per_mol_atoms": 0.00,
  "magnetic_moment_mub_per_cell": 0.0,
  "dos_at_fermi_per_ev_fu": 1.63,
  "density_g_cm3": 6.96,
  "e_form_raw_ev_per_atom": -0.136,
  "space_group": "No. 166",
  "vol_a3_per_fu": 133,
  "cell": [[4.232, 0.000, 0.000], [-2.116, 3.665, 0.000], [0.000, 0.000, 25.719]],
  "species": ["In", "In", "In", "In", "In", "In", "Hg", "Hg", "Hg", "I", "I", "I"],
  "fractional_positions": [[0.000, 0.000, 0.243], [0.000, 0.000, 0.757], [0.333, 0.667, 0.424], [0.333, 0.667, 0.909], [0.667, 0.333, 0.091], [0.667, 0.333, 0.576], [0.000, 0.000, 0.500], [0.333, 0.667, 0.167], [0.667, 0.333, 0.833], [0.000, 0.000, 0.000], [0.333, 0.667, 0.667], [0.667, 0.333, 0.333]]
}